Entry 1:
The following is a PBE-GGA calculation of an optimized crystal structure of Rb3TlSe3, from Alexandria via LeMat-Bulk.

Cell lengths 8.6528, 8.6528, 8.3246 Å; angles 95.75, 95.75, 113.51 degrees
Fractional positions:
Rb 0.3924 0.3924 0.6479
Rb 0.7650 0.2350 0.0000
Rb 0.1749 0.8251 0.5000
Rb 0.2350 0.7650 0.0000
Rb 0.8251 0.1749 0.5000
Rb 0.6076 0.6076 0.3521
Tl 0.1847 0.1847 0.1482
Tl 0.8153 0.8153 0.8518
Se 0.1013 0.1013 0.8128
Se 0.5405 0.8452 0.7196
Se 0.8452 0.5405 0.7196
Se 0.4595 0.1548 0.2804
Se 0.8987 0.8987 0.1872
Se 0.1548 0.4595 0.2804

The uncorrected formation energy comes out at -0.901 eV/atom. The calculation puts the excess energy over the best structure of this formula in the dataset at 0.0054 eV per atom.

---

Entry 2:
The following is a PBE-GGA calculation of an optimized crystal structure of SrAu4, from Alexandria via LeMat-Bulk.

Cell lengths 5.6951, 5.6951, 5.6951 Å; angles 90.00, 90.00, 90.00 degrees
Fractional positions:
Au 0.5000 0.0000 0.5000
Au 0.0000 0.5000 0.5000
Au 0.5000 0.5000 0.0000
Au 0.0000 0.0000 0.0000
Sr 0.5000 0.5000 0.5000

The formation energy comes out at 0.88 eV per atom.

---

Entry 3:
The following is a PBE-GGA calculation of an optimized crystal structure of Ba2Tl2F, from Alexandria via LeMat-Bulk.

Cell lengths 7.7081, 7.7081, 6.0144 Å; angles 90.00, 90.00, 90.00 degrees
Fractional positions:
Tl 0.8611 0.3611 0.5000
Tl 0.1389 0.6389 0.5000
Tl 0.3611 0.1389 0.5000
Tl 0.6389 0.8611 0.5000
Ba 0.6882 0.1882 0.0000
Ba 0.8118 0.6882 0.0000
Ba 0.3118 0.8118 0.0000
Ba 0.1882 0.3118 0.0000
F 0.0000 0.0000 0.0000
F 0.5000 0.5000 0.0000

The uncorrected formation energy comes out at -1.126 eV/atom.

---

Entry 4:
The following is a PBE-GGA calculation of an optimized crystal structure of LiTe2Br, from Alexandria via LeMat-Bulk.

Cell lengths 9.4341, 9.4341, 9.4341 Å; angles 24.10, 24.10, 24.10 degrees
Fractional positions:
Te 0.0024 0.0024 0.0024
Te 0.2633 0.2633 0.2633
Li 0.7685 0.7685 0.7685
Br 0.4657 0.4657 0.4657

The uncorrected formation energy comes out at -0.443 eV/atom. The calculation puts the excess energy over the best structure of this formula in the dataset at 0.1765 eV per atom.